(1)
# CeTlGaCl6

An optimized crystal structure of CeTlGaCl6 (PBE-GGA, the Alexandria database).

Lattice parameters (Å, degrees): 6.945 6.945 13.136 90.00 90.00 90.00
Space group P4_2nm (No. 102)
Unique sites:
Ce 0.000 0.000 0.000 [2 per cell]
Tl 0.000 0.000 0.337 [2 per cell]
Ga 0.000 0.000 0.673 [2 per cell]
Cl 0.175 0.175 0.844 [4 per cell]
Cl 0.193 0.193 0.141 [4 per cell]
Cl 0.232 0.232 0.508 [4 per cell]

Magnetic moment = 0.0 Bohr magnetons per cell
E_form (uncorrected) = -1.496 eV/atom
DFT total energy = -3.9859 eV per atom

(2)
# CeGdCl

An optimized crystal structure of CeGdCl (PBE-GGA, the Alexandria database).

Lattice parameters (Å, degrees): 3.6212 3.6212 7.3452 90.00 90.00 120.00
Space group P3m1 (No. 156)
Unique sites:
Ce 0.0000 0.0000 0.0000 [1 per cell]
Gd 0.6667 0.3333 0.3914 [1 per cell]
Cl 0.3333 0.6667 0.6782 [1 per cell]

Magnetic moment = 9.0 Bohr magnetons per cell
E_form (uncorrected) = -0.824 eV/atom
DFT total energy = -8.1111 eV per atom

(3)
# Ce4GeCl5

An optimized crystal structure of Ce4GeCl5 (PBE-GGA, the Alexandria database).

Lattice parameters (Å, degrees): 17.665 4.048 8.465 90.00 102.34 90.00
Space group C2/m (No. 12)
Unique sites:
Ce 0.004 0.000 0.245 [4 per cell]
Ce 0.168 0.500 0.070 [4 per cell]
Ge 0.000 0.500 0.000 [2 per cell]
Cl 0.000 0.500 0.500 [2 per cell]
Cl 0.163 0.000 0.819 [4 per cell]
Cl 0.170 0.000 0.314 [4 per cell]

Magnetic moment = 10.0 Bohr magnetons per cell
E_form (uncorrected) = -1.657 eV/atom
DFT total energy = -5.4156 eV per atom